No. 1
VASP calculation (SCAN) on a PBEsol-optimized structure of CaCdPb2.

Values from the calculation:
V: 108.63 Å³/f.u.
Formation enthalpy at 0 K: -320.9 meV/atom
Total magnetic moment: 0.0 μB/cell
DOS(E_F): 1.81 states/eV/f.u.
Mass density: 8.67 g cm⁻³
Calculated total energy: -192.924 eV/f.u.

```
data_CaCdPb2
_chemical_formula_sum 'Ca1 Cd1 Pb2'
_symmetry_space_group_name_H-M 'P 1'
_symmetry_Int_Tables_number 1
_symmetry_space_group_name_Hall 'P 1'
_cell_length_a 6.2251
_cell_length_b 6.2251
_cell_length_c 5.3872
_cell_angle_alpha 111.96
_cell_angle_beta 111.96
_cell_angle_gamma 34.43
loop_
_atom_site_label
_atom_site_type_symbol
_atom_site_fract_x
_atom_site_fract_y
_atom_site_fract_z
_atom_site_occupancy
Ca1 Ca 0.0000 0.0000 0.0000 1
Cd1 Cd 0.2536 0.2536 0.6335 1
Pb1 Pb 0.5099 0.5099 0.5099 1
Pb2 Pb 0.7549 0.7549 0.1381 1
```

---

No. 2
VASP calculation (SCAN) on a PBEsol-optimized structure of CaCdPb2.

Values from the calculation:
V: 106.73 Å³/f.u.
Formation enthalpy at 0 K: -369.3 meV/atom
Total magnetic moment: 0.0 μB/cell
DOS(E_F): 1.63 states/eV/f.u.
Mass density: 8.82 g cm⁻³
Calculated total energy: -193.117 eV/f.u.

```
data_CaCdPb2
_chemical_formula_sum 'Ca1 Cd1 Pb2'
_symmetry_space_group_name_H-M 'P 1'
_symmetry_Int_Tables_number 1
_symmetry_space_group_name_Hall 'P 1'
_cell_length_a 5.9895
_cell_length_b 5.9895
_cell_length_c 5.9895
_cell_angle_alpha 134.75
_cell_angle_beta 134.75
_cell_angle_gamma 65.92
loop_
_atom_site_label
_atom_site_type_symbol
_atom_site_fract_x
_atom_site_fract_y
_atom_site_fract_z
_atom_site_occupancy
Ca1 Ca 0.0000 0.0000 0.0000 1
Cd1 Cd 0.7500 0.2500 0.5000 1
Pb1 Pb 0.2500 0.7500 0.5000 1
Pb2 Pb 0.5000 0.5000 0.0000 1
```

---

No. 3
VASP calculation (SCAN) on a PBEsol-optimized structure of CaCd4Pb.

Values from the calculation:
V: 145.12 Å³/f.u.
Formation enthalpy at 0 K: -188.1 meV/atom
Total magnetic moment: 0.0 μB/cell
DOS(E_F): 2.97 states/eV/f.u.
Mass density: 7.97 g cm⁻³
Calculated total energy: -208.231 eV/f.u.

```
data_CaCd4Pb
_chemical_formula_sum 'Ca1 Cd4 Pb1'
_symmetry_space_group_name_H-M 'P 1'
_symmetry_Int_Tables_number 1
_symmetry_space_group_name_Hall 'P 1'
_cell_length_a 5.8985
_cell_length_b 5.8985
_cell_length_c 5.8985
_cell_angle_alpha 60.00
_cell_angle_beta 60.00
_cell_angle_gamma 60.00
loop_
_atom_site_label
_atom_site_type_symbol
_atom_site_fract_x
_atom_site_fract_y
_atom_site_fract_z
_atom_site_occupancy
Ca1 Ca 0.0000 0.0000 0.0000 1
Cd1 Cd 0.3747 0.3747 0.3747 1
Cd2 Cd 0.3747 0.3747 0.8759 1
Cd3 Cd 0.3747 0.8759 0.3747 1
Cd4 Cd 0.8759 0.3747 0.3747 1
Pb1 Pb 0.7500 0.7500 0.7500 1
```

---

No. 4
VASP calculation (SCAN) on a PBEsol-optimized structure of CaCdPb2.

Values from the calculation:
V: 115.19 Å³/f.u.
Formation enthalpy at 0 K: -138.0 meV/atom
Total magnetic moment: 0.0 μB/cell
DOS(E_F): 1.87 states/eV/f.u.
Mass density: 8.17 g cm⁻³
Calculated total energy: -192.192 eV/f.u.

```
data_CaCdPb2
_chemical_formula_sum 'Ca1 Cd1 Pb2'
_symmetry_space_group_name_H-M 'P 1'
_symmetry_Int_Tables_number 1
_symmetry_space_group_name_Hall 'P 1'
_cell_length_a 10.2819
_cell_length_b 10.2819
_cell_length_c 10.2819
_cell_angle_alpha 20.36
_cell_angle_beta 20.36
_cell_angle_gamma 20.36
loop_
_atom_site_label
_atom_site_type_symbol
_atom_site_fract_x
_atom_site_fract_y
_atom_site_fract_z
_atom_site_occupancy
Ca1 Ca 0.0000 0.0000 0.0000 1
Cd1 Cd 0.7465 0.7465 0.7465 1
Pb1 Pb 0.2458 0.2458 0.2458 1
Pb2 Pb 0.4923 0.4923 0.4923 1
```